(1)
First-principles (PBE) data for CdBrO2 after structural relaxation, as listed in the Alexandria database.

space-group type	Pnma, No. 62
DOS(E_F)	0.601	states/eV/atom
E_tot	-55.7	eV/cell
distance to the lowest polymorph of the same formula	87	meV/atom

a = 6.4717 Å, b = 3.4031 Å, c = 13.2625 Å
α = 90.00°, β = 90.00°, γ = 90.00°
Atoms (fractional coordinates):
O 0.2798 0.7500 0.1585
O 0.3650 0.7500 0.4275
O 0.6350 0.2500 0.5725
O 0.7202 0.2500 0.8415
O 0.8650 0.7500 0.0725
O 0.7798 0.7500 0.3415
O 0.2202 0.2500 0.6585
O 0.1350 0.2500 0.9275
Cd 0.0854 0.2500 0.1050
Cd 0.9146 0.7500 0.8950
Cd 0.5854 0.2500 0.3950
Cd 0.4146 0.7500 0.6050
Br 0.5700 0.7500 0.1212
Br 0.0700 0.7500 0.3788
Br 0.9300 0.2500 0.6212
Br 0.4300 0.2500 0.8788

=====

(2)
First-principles (PBE) data for Tc3TeH after structural relaxation, as listed in the Alexandria database.

space-group type	Pm-3m, No. 221
DOS(E_F)	1.297	states/eV/atom
E_tot	-25.3	eV/cell
distance to the lowest polymorph of the same formula	2038	meV/atom

a = 4.9104 Å, b = 4.9104 Å, c = 4.9104 Å
α = 90.00°, β = 90.00°, γ = 90.00°
Each line ends with the local moment (μB).
Atoms (fractional coordinates):
Tc 0.5000 0.0000 0.0000  1.12
Tc 0.0000 0.5000 0.0000  1.17
Tc 0.0000 0.0000 0.5000  1.23
H 0.5000 0.5000 0.5000  -0.03
Te 0.0000 0.0000 0.0000  -0.06

=====

(3)
First-principles (PBE) data for Ca2TlZnO5 after structural relaxation, as listed in the Alexandria database.

space-group type	Cmc2_1, No. 36
E_tot	-95.4	eV/cell

a = 3.3939 Å, b = 7.2227 Å, c = 9.9750 Å
α = 90.00°, β = 90.00°, γ = 103.59°
Each line ends with the local moment (μB).
Atoms (fractional coordinates):
O 0.9533 0.9067 0.5637  0.06
O 0.3322 0.6644 0.3613  0.32
O 0.2861 0.5722 0.6719  0.06
O 0.4910 0.9819 0.2761  0.39
O 0.3682 0.7364 0.9888  0.04
O 0.7139 0.4278 0.1719  0.06
O 0.0467 0.0933 0.0637  0.06
O 0.5090 0.0181 0.7761  0.39
O 0.6318 0.2636 0.4888  0.04
O 0.6678 0.3356 0.8613  0.32
Ca 0.1125 0.2250 0.6835  -0.01
Ca 0.8875 0.7750 0.1835  -0.01
Ca 0.1213 0.2426 0.2938  0.00
Ca 0.8787 0.7574 0.7938  0.00
Zn 0.4797 0.9593 0.4743  0.04
Zn 0.5203 0.0407 0.9743  0.04
Tl 0.2105 0.4209 0.0106  0.00
Tl 0.7895 0.5791 0.5106  0.00

=====

(4)
First-principles (PBE) data for B3PtS after structural relaxation, as listed in the Alexandria database.

space-group type	Pm-3m, No. 221
DOS(E_F)	0.536	states/eV/atom
E_tot	-22.5	eV/cell
distance to the lowest polymorph of the same formula	376	meV/atom

a = 3.8132 Å, b = 3.8132 Å, c = 3.8132 Å
α = 90.00°, β = 90.00°, γ = 90.00°
Atoms (fractional coordinates):
Pt 0.5000 0.5000 0.5000
B 0.5000 0.0000 0.0000
B 0.0000 0.5000 0.0000
B 0.0000 0.0000 0.5000
S 0.0000 0.0000 0.0000

=====

E_tot of number 3 (Ca2TlZnO5)? -95.4 eV/cell

=====

Among the records above, which one has the highest E_tot? B3PtS

=====

Repeat the first record exactly.
First-principles (PBE) data for CdBrO2 after structural relaxation, as listed in the Alexandria database.

space-group type	Pnma, No. 62
DOS(E_F)	0.601	states/eV/atom
E_tot	-55.7	eV/cell
distance to the lowest polymorph of the same formula	87	meV/atom

a = 6.4717 Å, b = 3.4031 Å, c = 13.2625 Å
α = 90.00°, β = 90.00°, γ = 90.00°
Atoms (fractional coordinates):
O 0.2798 0.7500 0.1585
O 0.3650 0.7500 0.4275
O 0.6350 0.2500 0.5725
O 0.7202 0.2500 0.8415
O 0.8650 0.7500 0.0725
O 0.7798 0.7500 0.3415
O 0.2202 0.2500 0.6585
O 0.1350 0.2500 0.9275
Cd 0.0854 0.2500 0.1050
Cd 0.9146 0.7500 0.8950
Cd 0.5854 0.2500 0.3950
Cd 0.4146 0.7500 0.6050
Br 0.5700 0.7500 0.1212
Br 0.0700 0.7500 0.3788
Br 0.9300 0.2500 0.6212
Br 0.4300 0.2500 0.8788

=====

Please write out number 2 again, unchanged.
First-principles (PBE) data for Tc3TeH after structural relaxation, as listed in the Alexandria database.

space-group type	Pm-3m, No. 221
DOS(E_F)	1.297	states/eV/atom
E_tot	-25.3	eV/cell
distance to the lowest polymorph of the same formula	2038	meV/atom

a = 4.9104 Å, b = 4.9104 Å, c = 4.9104 Å
α = 90.00°, β = 90.00°, γ = 90.00°
Each line ends with the local moment (μB).
Atoms (fractional coordinates):
Tc 0.5000 0.0000 0.0000  1.12
Tc 0.0000 0.5000 0.0000  1.17
Tc 0.0000 0.0000 0.5000  1.23
H 0.5000 0.5000 0.5000  -0.03
Te 0.0000 0.0000 0.0000  -0.06